DFT (PBE) results for a geometry-optimized Si3PdN structure.

```
5
Lattice="4.009 0.000 0.000 0.000 4.009 0.000 0.000 0.000 4.009" Properties=species:S:1:pos:R:3 pbc="T T T"
Si 0.000 0.000 2.004
Si 0.000 2.004 0.000
Si 2.004 0.000 0.000
Pd 2.004 2.004 2.004
N 0.000 0.000 0.000
```

Results
final energy: -5.550 eV/atom
calculated volume: 12.9 A^3/atom
ΔE_f (raw): 0.41 eV per atom